No. 1
# SrBe2H (GGA-PBE, relaxed)
data_SrBe2H
_symmetry_space_group_name_H-M 'P 1'
_symmetry_Int_Tables_number 1
_cell_length_a 6.6354
_cell_length_b 6.6354
_cell_length_c 6.6354
_cell_angle_alpha 90.00
_cell_angle_beta 90.00
_cell_angle_gamma 90.00
loop_
_symmetry_equiv_pos_as_xyz
'x,y,z'
loop_
_atom_site_label
_atom_site_fract_x
_atom_site_fract_y
_atom_site_fract_z
_atom_site_occupancy
Sr1 0.0000 0.0000 0.0000 1
Sr2 0.0000 0.5000 0.5000 1
Sr3 0.5000 0.0000 0.5000 1
Sr4 0.5000 0.5000 0.0000 1
Be1 0.2500 0.2500 0.2500 1
Be2 0.2500 0.2500 0.7500 1
Be3 0.2500 0.7500 0.2500 1
Be4 0.2500 0.7500 0.7500 1
Be5 0.7500 0.2500 0.2500 1
Be6 0.7500 0.2500 0.7500 1
Be7 0.7500 0.7500 0.2500 1
Be8 0.7500 0.7500 0.7500 1
H1 0.0000 0.0000 0.5000 1
H2 0.0000 0.5000 0.0000 1
H3 0.5000 0.0000 0.0000 1
H4 0.5000 0.5000 0.5000 1
# Energy above the lowest structure with this stoichiometry (meV/atom): 796
# Magnetization (μB/f.u.): 0.00
# Crystal system: cubic

No. 2
# SrBe2H (GGA-PBE, relaxed)
data_SrBe2H
_symmetry_space_group_name_H-M 'P 1'
_symmetry_Int_Tables_number 1
_cell_length_a 5.4424
_cell_length_b 5.4424
_cell_length_c 7.7550
_cell_angle_alpha 90.00
_cell_angle_beta 90.00
_cell_angle_gamma 90.00
loop_
_symmetry_equiv_pos_as_xyz
'x,y,z'
loop_
_atom_site_label
_atom_site_fract_x
_atom_site_fract_y
_atom_site_fract_z
_atom_site_occupancy
Sr1 0.0000 0.2500 0.3750 1
Sr2 0.0000 0.7500 0.6250 1
Sr3 0.5000 0.2500 0.1250 1
Sr4 0.5000 0.7500 0.8750 1
Be1 0.0000 0.0000 0.0000 1
Be2 0.0000 0.5000 0.0000 1
Be3 0.2500 0.2500 0.7500 1
Be4 0.2500 0.7500 0.2500 1
Be5 0.5000 0.0000 0.5000 1
Be6 0.5000 0.5000 0.5000 1
Be7 0.7500 0.2500 0.7500 1
Be8 0.7500 0.7500 0.2500 1
H1 0.0000 0.2500 0.8750 1
H2 0.0000 0.7500 0.1250 1
H3 0.5000 0.2500 0.6250 1
H4 0.5000 0.7500 0.3750 1
# Energy above the lowest structure with this stoichiometry (meV/atom): 0
# Magnetization (μB/f.u.): 0.00
# Crystal system: tetragonal

No. 3
# SrBe2H6 (GGA-PBE, relaxed)
data_SrBe2H6
_symmetry_space_group_name_H-M 'P 1'
_symmetry_Int_Tables_number 1
_cell_length_a 4.4923
_cell_length_b 4.5420
_cell_length_c 4.5429
_cell_angle_alpha 111.70
_cell_angle_beta 95.66
_cell_angle_gamma 95.78
loop_
_symmetry_equiv_pos_as_xyz
'x,y,z'
loop_
_atom_site_label
_atom_site_fract_x
_atom_site_fract_y
_atom_site_fract_z
_atom_site_occupancy
Sr1 0.0000 0.0000 0.0000 1
Be1 0.4992 0.6380 0.3630 1
Be2 0.5008 0.3620 0.6370 1
H1 0.2369 0.5917 0.1490 1
H2 0.2386 0.1473 0.5918 1
H3 0.4285 0.6899 0.6908 1
H4 0.5715 0.3101 0.3092 1
H5 0.7614 0.8527 0.4082 1
H6 0.7631 0.4083 0.8510 1
# Energy above the lowest structure with this stoichiometry (meV/atom): 0
# Magnetization (μB/f.u.): 0.00
# Crystal system: triclinic

No. 4
# Sr2BeH5 (GGA-PBE, relaxed)
data_Sr2BeH5
_symmetry_space_group_name_H-M 'P 1'
_symmetry_Int_Tables_number 1
_cell_length_a 5.1874
_cell_length_b 5.1874
_cell_length_c 7.2029
_cell_angle_alpha 90.00
_cell_angle_beta 90.00
_cell_angle_gamma 90.00
loop_
_symmetry_equiv_pos_as_xyz
'x,y,z'
loop_
_atom_site_label
_atom_site_fract_x
_atom_site_fract_y
_atom_site_fract_z
_atom_site_occupancy
Sr1 0.0000 0.5000 0.0000 1
Sr2 0.0000 0.5000 0.5000 1
Sr3 0.5000 0.0000 0.0000 1
Sr4 0.5000 0.0000 0.5000 1
Be1 0.0000 0.0000 0.2416 1
Be2 0.5000 0.5000 0.7416 1
H1 0.0000 0.0000 0.0308 1
H2 0.2206 0.2206 0.2580 1
H3 0.2206 0.7794 0.2580 1
H4 0.2794 0.2794 0.7580 1
H5 0.2794 0.7206 0.7580 1
H6 0.5000 0.5000 0.5308 1
H7 0.7206 0.2794 0.7580 1
H8 0.7206 0.7206 0.7580 1
H9 0.7794 0.2206 0.2580 1
H10 0.7794 0.7794 0.2580 1
# DFT total energy (eV per formula unit): -26.64
# Magnetization (μB/f.u.): 0.00
# Crystal system: tetragonal